1.
Below is crystalline Sc3AuO at its relaxed geometry, with properties calculated at the PBE-GGA level.

Space-group type: P2_1/c
E_tot (eV/atom): -6.8393
Formation energy (no corrections) (kJ/mol of atoms): -134.43
Density of states at the Fermi level (states/eV/f.u.): 6.01

POSCAR file:
```
Sc3AuO
1.0
7.834 0.000 0.000
0.000 6.457 0.000
-5.343 0.000 7.431
Sc Au O
12 4 4
direct
0.000 0.000 0.208
0.000 0.000 0.792
0.000 0.500 0.292
0.000 0.500 0.708
0.221 0.164 0.611
0.221 0.336 0.111
0.465 0.750 0.482
0.465 0.750 0.982
0.535 0.250 0.018
0.535 0.250 0.518
0.779 0.664 0.889
0.779 0.836 0.389
0.223 0.741 0.611
0.223 0.759 0.111
0.777 0.241 0.889
0.777 0.259 0.389
0.215 0.250 0.358
0.215 0.250 0.858
0.785 0.750 0.142
0.785 0.750 0.642
```

2.
Below is crystalline YH3Rh at its relaxed geometry, with properties calculated at the PBE-GGA level.

Space-group type: Pm-3m
E_tot (eV/atom): -4.4520
Density of states at the Fermi level (states/eV/f.u.): 2.40

POSCAR file:
```
YH3Rh
1.0
3.944 0.000 0.000
0.000 3.944 0.000
0.000 0.000 3.944
Y H Rh
1 3 1
direct
0.000 0.000 0.000
0.000 0.000 0.500
0.000 0.500 0.000
0.500 0.000 0.000
0.500 0.500 0.500
```

3.
Below is crystalline Mn2VNi8 at its relaxed geometry, with properties calculated at the PBE-GGA level.

Space-group type: C2/m
E_tot (eV/atom): -6.7585
E above lowest polymorph (meV/atom): 0
DFT formation energy (eV/atom): -0.058
Density of states at the Fermi level (states/eV/f.u.): 15.31

POSCAR file:
```
Mn2VNi8
1.0
6.398 -1.745 0.000
6.398 1.745 0.000
-1.382 0.000 5.385
Mn V Ni
2 1 8
direct
0.227 0.227 0.117
0.773 0.773 0.883
0.500 0.500 0.500
0.049 0.049 0.227
0.135 0.135 0.681
0.316 0.316 0.586
0.408 0.408 0.050
0.592 0.592 0.950
0.684 0.684 0.414
0.865 0.865 0.319
0.951 0.951 0.773
```

4.
Below is crystalline Pr4SnSeI2 at its relaxed geometry, with properties calculated at the PBE-GGA level.

Space-group type: P2/m
E_tot (eV/atom): -4.8537
Formation energy (no corrections) (kJ/mol of atoms): -110.04
Density of states at the Fermi level (states/eV/f.u.): 3.57

POSCAR file:
```
Pr4SnSeI2
1.0
7.658 0.000 0.000
0.000 4.483 0.000
-2.668 0.000 7.749
Pr Sn Se I
4 1 1 2
direct
0.217 0.000 0.200
0.244 0.500 0.792
0.756 0.500 0.208
0.783 0.000 0.800
0.500 0.000 0.000
0.000 0.500 0.000
0.000 0.000 0.500
0.500 0.500 0.500
```